Here is a geometry-optimized VMoN2O structure from Alexandria. Energies are from PBE with a Hubbard U.

Values from the calculation:
Total magnetic moment = 2.88 μB per formula unit
Calculated total energy = -7.06 eV per atom
Space-group type = P4/mmm (123)

Lattice parameters (Å, degrees): 3.898 3.898 3.646 90.00 90.00 90.00
Sites, in units of the cell vectors:
1 V 0.000 0.000 0.000
2 Mo 0.500 0.500 0.500
3 N 0.000 0.500 0.000
4 N 0.500 0.000 0.000
5 O 0.000 0.000 0.500